MnZnPS2 (PBE, optimized geometry); space-group type = P4/mmm, No. 123; energy relative to the elements, uncorrected = 0.73 eV/atom; N(E_F) = 3.63 states/eV/cell; total moment = 3.764 μB per cell
1.0
4.7280 0.0000 0.0000
0.0000 4.7280 0.0000
0.0000 0.0000 4.5326
S Zn Mn P
2 1 1 1
direct
0.0000 0.5000 0.0000 S
0.5000 0.0000 0.0000 S
0.0000 0.0000 0.0000 Zn
0.5000 0.5000 0.5000 Mn
0.0000 0.0000 0.5000 P

=====

Mg8CdSn2 (PBE, optimized geometry); space-group type = Immm, No. 71; N(E_F) = 2.98 states/eV/cell; total moment = 0.000 μB per cell; energy of formation from the pure elements = -78 meV/atom
1.0
4.4242 0.0000 -1.3465
-1.1944 6.9099 -3.9245
0.1339 0.1108 8.3816
Mg Cd Sn
8 1 2
direct
0.3413 0.5761 0.6827 Mg
0.0000 0.2850 0.0000 Mg
0.3414 0.1066 0.6827 Mg
0.8466 0.8466 0.6932 Mg
0.6586 0.8934 0.3173 Mg
0.6587 0.4239 0.3173 Mg
0.1534 0.1534 0.3068 Mg
0.0000 0.7150 0.0000 Mg
0.5000 0.0000 0.0000 Cd
0.1798 0.6798 0.3597 Sn
0.8202 0.3202 0.6403 Sn

=====

Ti5Sn2B (PBE, optimized geometry); space-group type = Cmcm, No. 63; N(E_F) = 20.06 states/eV/cell; total moment = 0.000 μB per cell; energy of formation from the pure elements = 197 meV/atom
1.0
4.1545 0.0000 0.0000
-2.0772 7.3974 0.0000
0.0000 0.0000 11.0329
Sn Ti B
4 10 2
direct
0.9267 0.8534 0.3735 Sn
0.0733 0.1466 0.6265 Sn
0.0733 0.1466 0.8735 Sn
0.9267 0.8534 0.1265 Sn
0.7010 0.4021 0.9387 Ti
0.2663 0.5326 0.7500 Ti
0.8787 0.7574 0.8849 Ti
0.2990 0.5979 0.4387 Ti
0.8787 0.7574 0.6151 Ti
0.1213 0.2426 0.3849 Ti
0.7010 0.4021 0.5613 Ti
0.2990 0.5979 0.0613 Ti
0.7337 0.4674 0.2500 Ti
0.1213 0.2426 0.1151 Ti
0.7737 0.5474 0.7500 B
0.2263 0.4526 0.2500 B

=====

LaEr2ReN4 (PBE, optimized geometry); space-group type = Cmcm, No. 63; energy relative to the elements, uncorrected = -1.09 eV/atom; N(E_F) = 4.84 states/eV/cell; total moment = 0.000 μB per cell
1.0
-0.4174 -2.8787 -1.8927
4.5164 -1.1815 3.9825
-7.9131 -3.9772 7.7941
La Re Er N
2 2 4 8
direct
0.0855 0.1710 0.7500 La
0.9145 0.8290 0.2500 La
0.1696 0.3391 0.2500 Re
0.8304 0.6609 0.7500 Re
0.6301 0.2602 0.0412 Er
0.3699 0.7398 0.5412 Er
0.6301 0.2602 0.4588 Er
0.3699 0.7398 0.9588 Er
0.7388 0.4777 0.8843 N
0.4207 0.8414 0.7500 N
0.0000 0.0000 0.0000 N
0.2612 0.5223 0.3843 N
0.0000 0.0000 0.5000 N
0.7388 0.4777 0.6157 N
0.5793 0.1586 0.2500 N
0.2612 0.5223 0.1157 N